Entry 1:
DFT (PBEsol) results for a geometry-optimized TaN2ClF structure.

The space-group type is P4/mmm, No. 123. Its magnetization is 0.000 μB/f.u. Its crystal system is tetragonal. For the uncorrected formation energy, the calculation gives -0.290 eV per atom.

abc: 4.0315 4.0645 4.0645
angles: 90.00 90.00 90.00
Atoms (fractional coordinates):
N1 0.0000 0.0000 0.5000
N2 0.0000 0.5000 0.0000
F1 0.5000 0.0000 0.0000
Cl1 0.5000 0.5000 0.5000
Ta1 0.0000 0.0000 0.0000

***

Entry 2:
DFT (PBEsol) results for a geometry-optimized ZrCdAs2N structure.

The space-group type is P4/mmm, No. 123. Its magnetization is 0.000 μB/f.u. Its crystal system is tetragonal. For the uncorrected formation energy, the calculation gives 0.349 eV per atom.

abc: 4.1706 4.5133 4.5133
angles: 90.00 90.00 90.00
Atoms (fractional coordinates):
As1 0.0000 0.0000 0.5000
As2 0.0000 0.5000 0.0000
N1 0.0000 0.0000 0.0000
Zr1 0.5000 0.5000 0.5000
Cd1 0.5000 0.0000 0.0000